Computed, not measured: a geometry-optimized Nb2CoTc structure at the PBE level of DFT.

Cell lengths 2.670, 4.958, 9.815 Å; angles 90.00, 90.00, 90.00 degrees
Sites, in units of the cell vectors:
Nb1 0.000 0.000 0.236
Nb2 0.000 0.000 0.764
Nb3 0.500 0.500 0.264
Nb4 0.500 0.500 0.736
Co1 0.000 0.000 0.000
Co2 0.500 0.500 0.500
Tc1 0.000 0.000 0.500
Tc2 0.500 0.500 0.000

Values from the calculation:
- E_tot (eV per formula unit) = -35.3
- formation energy (meV per atom) = 588